! NiHg2I8 | the Alexandria database | GGA-PBE | optimized geometry; values from VASP
! Total DFT energy (no corrections) = -20.11 eV per cell
! Spin magnetization = 0.14 Bohr magnetons per cell
&SYSTEM
  ibrav = 0, nat = 11, ntyp = 3
/
ATOMIC_SPECIES
I 126.90 I.upf
Ni 58.69 Ni.upf
Hg 200.59 Hg.upf
ATOMIC_POSITIONS crystal
I 0.180 0.441 0.441
I 0.820 0.559 0.559
I 0.168 0.919 0.225
I 0.168 0.225 0.919
I 0.832 0.081 0.775
I 0.616 0.285 0.285
I 0.384 0.715 0.715
I 0.832 0.775 0.081
Ni 0.000 0.000 0.000
Hg 0.359 0.175 0.175
Hg 0.641 0.825 0.825
CELL_PARAMETERS angstrom
-4.795 -4.539 -3.706
-2.332 -5.495 6.576
-7.687 4.072 1.789

=====

! Nd4ZnAu3 | the Alexandria database | GGA-PBE | optimized geometry; values from VASP
! Formation energy from the elements = -0.66 eV/atom
! Total DFT energy (no corrections) = -35.47 eV per cell
! Spin magnetization = 0.00 Bohr magnetons per cell
&SYSTEM
  ibrav = 0, nat = 8, ntyp = 3
/
ATOMIC_SPECIES
Nd 144.24 Nd.upf
Au 196.97 Au.upf
Zn 65.41 Zn.upf
ATOMIC_POSITIONS crystal
Nd 0.000 0.500 0.860
Nd 0.500 0.000 0.638
Nd 0.500 0.500 0.361
Nd 0.000 0.000 0.139
Au 0.000 0.000 0.416
Au 0.500 0.000 0.921
Au 0.000 0.500 0.586
Zn 0.500 0.500 0.079
CELL_PARAMETERS angstrom
-0.772 3.632 -1.248
-0.976 -1.699 -4.339
-10.848 -1.294 2.946

=====

! Ca2BiH | the Alexandria database | GGA-PBE | optimized geometry; values from VASP
! Total DFT energy (no corrections) = -13.19 eV per cell
! Spin magnetization = 0.00 Bohr magnetons per cell
! Excess energy over the best structure of this formula in the dataset = 0.214 eV per atom
&SYSTEM
  ibrav = 0, nat = 4, ntyp = 3
/
ATOMIC_SPECIES
Bi 208.98 Bi.upf
H 1.01 H.upf
Ca 40.08 Ca.upf
ATOMIC_POSITIONS crystal
Bi 0.000 0.000 0.000
H 0.500 0.500 0.500
Ca 0.237 0.237 0.288
Ca 0.763 0.763 0.712
CELL_PARAMETERS angstrom
-1.005 4.100 -2.405
-2.938 3.323 1.984
2.686 4.722 2.020

=====

! Li3Zn | the Alexandria database | GGA-PBE | optimized geometry; values from VASP
! Formation energy from the elements = -0.10 eV/atom
! Total DFT energy (no corrections) = -44.49 eV per cell
! Spin magnetization = 0.00 Bohr magnetons per cell
&SYSTEM
  ibrav = 0, nat = 24, ntyp = 2
/
ATOMIC_SPECIES
Li 6.94 Li.upf
Zn 65.41 Zn.upf
ATOMIC_POSITIONS crystal
Li 0.674 0.750 0.083
Li 0.009 0.250 0.250
Li 0.828 0.500 0.915
Li 0.468 0.999 0.750
Li 0.674 0.750 0.417
Li 0.326 0.250 0.583
Li 0.326 0.250 0.917
Li 0.172 0.500 0.085
Li 0.172 0.500 0.415
Li 0.172 0.000 0.415
Li 0.532 0.001 0.250
Li 0.532 0.499 0.250
Li 0.991 0.750 0.750
Li 0.828 0.500 0.585
Li 0.828 0.000 0.585
Li 0.828 0.000 0.915
Li 0.468 0.501 0.750
Li 0.172 0.000 0.085
Zn 0.673 0.250 0.081
Zn 0.966 0.250 0.750
Zn 0.034 0.750 0.250
Zn 0.327 0.750 0.919
Zn 0.673 0.250 0.419
Zn 0.327 0.750 0.581
CELL_PARAMETERS angstrom
4.890 0.000 0.000
0.000 5.730 0.000
0.000 0.000 14.082

=====

! LiZnInI4 | the Alexandria database | GGA-PBE | optimized geometry; values from VASP
! Total DFT energy (no corrections) = -34.10 eV per cell
! Spin magnetization = 0.00 Bohr magnetons per cell
&SYSTEM
  ibrav = 0, nat = 14, ntyp = 4
/
ATOMIC_SPECIES
I 126.90 I.upf
In 114.82 In.upf
Li 6.94 Li.upf
Zn 65.41 Zn.upf
ATOMIC_POSITIONS crystal
I 0.027 0.454 0.743
I 0.973 0.954 0.257
I 0.396 0.750 0.049
I 0.493 0.250 0.459
I 0.604 0.250 0.951
I 0.027 0.046 0.743
I 0.973 0.546 0.257
I 0.507 0.750 0.541
In 0.126 0.250 0.069
In 0.874 0.750 0.931
Li 0.289 0.250 0.691
Li 0.711 0.750 0.309
Zn 0.769 0.250 0.704
Zn 0.231 0.750 0.296
CELL_PARAMETERS angstrom
6.873 0.000 0.344
0.000 9.952 0.000
-2.283 0.000 8.652

=====

! PmPr6NdTm2 | the Alexandria database | GGA-PBE | optimized geometry; values from VASP
! Formation energy from the elements = 0.11 eV/atom
! Total DFT energy (no corrections) = -92.07 eV per cell
! Spin magnetization = 0.00 Bohr magnetons per cell
&SYSTEM
  ibrav = 0, nat = 20, ntyp = 4
/
ATOMIC_SPECIES
Pr 140.91 Pr.upf
Tm 168.93 Tm.upf
Nd 144.24 Nd.upf
Pm 145.00 Pm.upf
ATOMIC_POSITIONS crystal
Pr 0.817 0.438 0.989
Pr 0.881 0.297 0.514
Pr 0.317 0.989 0.438
Pr 0.381 0.514 0.297
Pr 0.119 0.703 0.486
Pr 0.183 0.562 0.011
Pr 0.683 0.011 0.562
Pr 0.056 0.107 0.760
Pr 0.444 0.240 0.893
Pr 0.556 0.760 0.107
Pr 0.619 0.486 0.703
Pr 0.944 0.893 0.240
Tm 0.451 0.802 0.708
Tm 0.951 0.708 0.802
Tm 0.049 0.292 0.198
Tm 0.549 0.198 0.292
Nd 0.250 0.407 0.593
Nd 0.750 0.593 0.407
Pm 0.250 0.968 0.032
Pm 0.750 0.032 0.968
CELL_PARAMETERS angstrom
9.325 -2.082 -2.161
0.824 8.731 -1.976
0.824 -2.298 8.652

=====

! RbPd3Ru | the Alexandria database | GGA-PBE | optimized geometry; values from VASP
! Formation energy from the elements = 0.80 eV/atom
! Total DFT energy (no corrections) = -21.85 eV per cell
! Spin magnetization = 1.84 Bohr magnetons per cell
! Excess energy over the best structure of this formula in the dataset = 0.000 eV per atom
&SYSTEM
  ibrav = 0, nat = 5, ntyp = 3
/
ATOMIC_SPECIES
Ru 101.07 Ru.upf
Pd 106.42 Pd.upf
Rb 85.47 Rb.upf
ATOMIC_POSITIONS crystal
Ru 0.000 0.000 0.000
Pd 0.500 0.000 0.000
Pd 0.000 0.500 0.000
Pd 0.000 0.000 0.500
Rb 0.500 0.500 0.500
CELL_PARAMETERS angstrom
-4.552 -1.158 1.612
0.449 -4.530 -1.985
1.933 -1.674 4.257

=====

! LiCaDyZn | the Alexandria database | GGA-PBE | optimized geometry; values from VASP
! Formation energy from the elements = -0.09 eV/atom
! Total DFT energy (no corrections) = -10.14 eV per cell
! Spin magnetization = 0.00 Bohr magnetons per cell
&SYSTEM
  ibrav = 0, nat = 4, ntyp = 4
/
ATOMIC_SPECIES
Li 6.94 Li.upf
Ca 40.08 Ca.upf
Dy 162.50 Dy.upf
Zn 65.41 Zn.upf
ATOMIC_POSITIONS crystal
Li 0.000 0.000 0.000
Ca 0.250 0.250 0.250
Dy 0.750 0.750 0.750
Zn 0.500 0.500 0.500
CELL_PARAMETERS angstrom
-4.795 1.655 1.108
-3.440 -3.251 2.137
-1.448 0.636 4.946

=====

! Li4YPa3Se8 | the Alexandria database | GGA-PBE | optimized geometry; values from VASP
! Total DFT energy (no corrections) = -92.34 eV per cell
! Spin magnetization = 5.50 Bohr magnetons per cell
&SYSTEM
  ibrav = 0, nat = 16, ntyp = 4
/
ATOMIC_SPECIES
Se 78.96 Se.upf
Li 6.94 Li.upf
Pa 231.04 Pa.upf
Y 88.91 Y.upf
ATOMIC_POSITIONS crystal
Se 0.244 0.234 0.489
Se 0.755 0.761 0.008
Se 0.747 0.239 0.494
Se 0.756 0.766 0.511
Se 0.253 0.761 0.008
Se 0.253 0.761 0.506
Se 0.245 0.239 0.992
Se 0.747 0.239 0.992
Li 0.500 0.000 0.500
Li 0.500 0.000 0.000
Li 0.000 0.000 0.500
Li 0.000 0.000 0.000
Pa 0.000 0.500 0.500
Pa 0.500 0.500 0.000
Pa 0.500 0.500 0.500
Y 0.000 0.500 0.000
CELL_PARAMETERS angstrom
-3.329 -4.876 -5.411
7.307 -1.349 -3.280
-1.127 -1.328 7.816

=====

! CdCoTe2 | the Alexandria database | GGA-PBE | optimized geometry; values from VASP
! Total DFT energy (no corrections) = -13.40 eV per cell
! Spin magnetization = 0.13 Bohr magnetons per cell
&SYSTEM
  ibrav = 0, nat = 4, ntyp = 3
/
ATOMIC_SPECIES
Cd 112.41 Cd.upf
Te 127.60 Te.upf
Co 58.93 Co.upf
ATOMIC_POSITIONS crystal
Cd 0.500 0.500 0.250
Te 0.000 0.000 0.576
Te 0.000 0.000 0.924
Co 0.500 0.500 0.750
CELL_PARAMETERS angstrom
-1.350 1.551 -2.428
-2.881 -0.742 1.129
-0.047 7.858 5.046

=====

! Sm3GeAs2Rh9 | the Alexandria database | GGA-PBE | optimized geometry; values from VASP
! Formation energy from the elements = -0.46 eV/atom
! Total DFT energy (no corrections) = -101.17 eV per cell
! Spin magnetization = 0.00 Bohr magnetons per cell
&SYSTEM
  ibrav = 0, nat = 15, ntyp = 4
/
ATOMIC_SPECIES
Rh 102.91 Rh.upf
Sm 150.36 Sm.upf
As 74.92 As.upf
Ge 72.64 Ge.upf
ATOMIC_POSITIONS crystal
Rh 0.500 0.500 0.000
Rh 0.000 0.500 0.000
Rh 0.142 0.285 0.283
Rh 0.285 0.142 0.717
Rh 0.500 0.000 0.000
Rh 0.142 0.858 0.283
Rh 0.715 0.858 0.283
Rh 0.858 0.142 0.717
Rh 0.858 0.715 0.717
Sm 0.667 0.333 0.291
Sm 0.000 0.000 0.000
Sm 0.333 0.667 0.709
As 0.667 0.333 0.822
As 0.333 0.667 0.178
Ge 0.000 0.000 0.500
CELL_PARAMETERS angstrom
6.321 0.000 0.000
-3.160 5.474 0.000
0.000 0.000 8.734

=====

! Be3BCl | the Alexandria database | GGA-PBE | optimized geometry; values from VASP
! Total DFT energy (no corrections) = -10.80 eV per cell
! Spin magnetization = 0.00 Bohr magnetons per cell
! Excess energy over the best structure of this formula in the dataset = 1.609 eV per atom
&SYSTEM
  ibrav = 0, nat = 5, ntyp = 3
/
ATOMIC_SPECIES
Be 9.01 Be.upf
B 10.81 B.upf
Cl 35.45 Cl.upf
ATOMIC_POSITIONS crystal
Be 0.500 0.000 0.000
Be 0.000 0.000 0.500
Be 0.000 0.500 0.000
B 0.500 0.500 0.500
Cl 0.000 0.000 0.000
CELL_PARAMETERS angstrom
-2.510 1.351 2.688
-2.126 -3.273 -0.340
2.128 -1.676 2.830

=====

What is the formula in the eleventh record?
Sm3GeAs2Rh9

=====

total DFT energy (no corrections) of number 4 (Li3Zn)?
-44.49 eV per cell

=====

Among the records above, which one has the lowest total DFT energy (no corrections)?
Sm3GeAs2Rh9